# 1
Below is a relaxed structure of AsOsAu, with properties calculated at the PBE level.

a = 4.1515 Å, b = 4.1515 Å, c = 3.4209 Å
α = 90.00°, β = 90.00°, γ = 120.00°
Closest atoms and distances in Å follow each position.
Element x y z (fractional)
Os (0.3333, 0.6667, 0.8425)  3 As 2.40
As (0.0000, 0.0000, 0.8225)  3 Os 2.40
Au (0.6667, 0.3333, 0.3351)  6 As 2.92-2.97, 6 Os 2.93-2.96

Energy above the most stable polymorph in this dataset: 0.297 eV/f.u.
Crystal system: trigonal
ΔE_f: 0.423 eV per atom

***

# 2
Below is a relaxed structure of HgPt2WSe, with properties calculated at the PBE level.

a = 5.0036 Å, b = 4.9363 Å, c = 5.0036 Å
α = 90.00°, β = 90.00°, γ = 90.00°
Closest atoms and distances in Å follow each position.
Element x y z (fractional)
W (0.5000, 0.5000, 0.5000)  8 Pt 3.51, 4 Se 3.54
Se (0.0000, 0.5000, 0.0000)  2 Hg 2.47
Hg (0.0000, 0.0000, 0.0000)  2 Se 2.47, 4 Pt 2.50
Pt (0.0000, 0.0000, 0.5000)  2 Hg 2.50
Pt (0.5000, 0.0000, 0.0000)  2 Hg 2.50

Energy above the most stable polymorph in this dataset: 2.621 eV/f.u.
Crystal system: tetragonal
ΔE_f (raw): 1.98 eV per atom

***

# 3
Below is a relaxed structure of HfBF2, with properties calculated at the PBE level.

a = 8.3986 Å, b = 8.3986 Å, c = 8.3986 Å
α = 19.66°, β = 19.66°, γ = 19.66°
Closest atoms and distances in Å follow each position.
Element x y z (fractional)
B (0.0000, 0.0000, 0.0000)  2 F 2.56
Hf (0.5000, 0.5000, 0.5000)  6 F 2.27
F (0.8964, 0.8964, 0.8964)  3 Hf 2.27
F (0.1036, 0.1036, 0.1036)  3 Hf 2.27

Energy above the most stable polymorph in this dataset: 2.158 eV/f.u.
Crystal system: trigonal
ΔE_f (raw): -0.83 eV per atom

***

# 4
Below is a relaxed structure of ScZn2Fe, with properties calculated at the PBE level.

a = 4.0195 Å, b = 2.9015 Å, c = 5.6228 Å
α = 75.06°, β = 90.00°, γ = 90.00°
Closest atoms and distances in Å follow each position.
Element x y z (fractional)
Fe (0.0000, 0.4490, 0.4761)  7 Zn 2.73-2.95, 2 Fe 2.90, 4 Sc 2.90-2.91
Sc (0.5000, 0.8106, 0.7555)  5 Zn 2.67-2.83, 2 Sc 2.90, 4 Fe 2.90-2.91
Zn (0.0000, 0.1868, 0.0050)  2 Zn 2.45
Zn (0.5000, 0.0536, 0.2634)  2 Zn 2.45, 1 Sc 2.67, 4 Fe 2.73-2.74

Crystal system: monoclinic
ΔE_f: -0.029 eV per atom

***

# 5
Below is a relaxed structure of CsAg3H, with properties calculated at the PBE level.

a = 4.8528 Å, b = 4.8528 Å, c = 4.8528 Å
α = 90.00°, β = 90.00°, γ = 90.00°
Closest atoms and distances in Å follow each position.
Element x y z (fractional)
Cs (0.5000, 0.5000, 0.5000)  12 Ag 3.43
H (0.0000, 0.0000, 0.0000)  6 Ag 2.43
Ag (0.0000, 0.5000, 0.0000)  2 H 2.43
Ag (0.0000, 0.0000, 0.5000)  2 H 2.43
Ag (0.5000, 0.0000, 0.0000)  2 H 2.43

Total energy: -1.923 eV per atom
Crystal system: cubic

***

# 6
Below is a relaxed structure of PrDyCuSi, with properties calculated at the PBE level.

a = 5.0462 Å, b = 5.0462 Å, c = 5.0462 Å
α = 60.00°, β = 60.00°, γ = 60.00°
Closest atoms and distances in Å follow each position.
Element x y z (fractional)
Pr (0.5000, 0.5000, 0.5000)  4 Cu 3.09, 4 Si 3.09
Si (0.7500, 0.7500, 0.7500)  4 Dy 3.09, 4 Pr 3.09
Cu (0.2500, 0.2500, 0.2500)  4 Dy 3.09, 4 Pr 3.09
Dy (0.0000, 0.0000, 0.0000)  4 Si 3.09, 4 Cu 3.09

Crystal system: cubic
ΔE_f (raw): -0.38 eV per atom

***

# 7
Below is a relaxed structure of Ce2PuTeO4, with properties calculated at the PBE level.

a = 3.9718 Å, b = 3.9718 Å, c = 9.1945 Å
α = 90.00°, β = 90.00°, γ = 90.00°
Closest atoms and distances in Å follow each position.
Element x y z (fractional)
Ce (0.5000, 0.5000, 0.2720)  4 O 2.27
Ce (0.5000, 0.5000, 0.7280)  4 O 2.27
Pu (0.0000, 0.0000, 0.0000)  8 O 2.43
Te (0.0000, 0.0000, 0.5000)  8 Ce 3.50, 8 O 3.77
O (0.0000, 0.5000, 0.1515)  2 Ce 2.27, 2 Pu 2.43
O (0.5000, 0.0000, 0.8485)  2 Ce 2.27, 2 Pu 2.43
O (0.5000, 0.0000, 0.1515)  2 Ce 2.27, 2 Pu 2.43
O (0.0000, 0.5000, 0.8485)  2 Ce 2.27, 2 Pu 2.43

Crystal system: tetragonal
ΔE_f (raw): -3.01 eV per atom

***

# 8
Below is a relaxed structure of Ca2TaSe, with properties calculated at the PBE level.

a = 6.2105 Å, b = 6.2105 Å, c = 6.2105 Å
α = 138.83°, β = 138.83°, γ = 59.63°
Closest atoms and distances in Å follow each position.
Element x y z (fractional)
Ca (0.0000, 0.0000, 0.0000)  4 Se 3.09
Ca (0.2500, 0.7500, 0.5000)  4 Ta 3.09
Se (0.5000, 0.5000, 0.0000)  4 Ca 3.09
Ta (0.7500, 0.2500, 0.5000)  4 Ca 3.09

Crystal system: tetragonal
ΔE_f (raw): 0.23 eV per atom

***

# 9
Below is a relaxed structure of Al2OsSe, with properties calculated at the PBE level.

a = 9.3603 Å, b = 9.3603 Å, c = 9.3603 Å
α = 18.34°, β = 18.34°, γ = 18.34°
Closest atoms and distances in Å follow each position.
Element x y z (fractional)
Os (0.5006, 0.5006, 0.5006)  3 Se 2.49, 3 Al 2.65
Al (0.9908, 0.9908, 0.9908)  9 Al 2.89-2.98
Al (0.2400, 0.2400, 0.2400)  3 Os 2.65, 3 Al 2.89
Se (0.7686, 0.7686, 0.7686)  3 Os 2.49

Crystal system: trigonal
ΔE_f (raw): 0.11 eV per atom

***

# 10
Below is a relaxed structure of CsAl3Cu, with properties calculated at the PBE level.

a = 6.1207 Å, b = 6.1207 Å, c = 6.1207 Å
α = 90.00°, β = 90.00°, γ = 90.00°
Closest atoms and distances in Å follow each position.
Element x y z (fractional)
Cs (0.0000, 0.0000, 0.0000)  6 Al 3.06
Al (0.0000, 0.5000, 0.0000)  2 Cs 3.06
Al (0.0000, 0.0000, 0.5000)  2 Cs 3.06
Al (0.5000, 0.0000, 0.0000)  2 Cs 3.06
Cu (0.5000, 0.5000, 0.5000)  12 Al 4.33

Energy above the most stable polymorph in this dataset: 7.989 eV/f.u.
Crystal system: cubic
ΔE_f: 2.032 eV per atom

***

# 11
Below is a relaxed structure of TaTl2Cr, with properties calculated at the PBE level.

a = 5.0872 Å, b = 5.0872 Å, c = 3.1909 Å
α = 90.00°, β = 90.00°, γ = 90.00°
Closest atoms and distances in Å follow each position.
Element x y z (fractional)
Cr (0.5000, 0.0000, 0.5000)  8 Tl 3.00, 2 Cr 3.19
Ta (0.0000, 0.5000, 0.5000)  8 Tl 3.00, 2 Ta 3.19
Tl (0.0000, 0.0000, 0.0000)  4 Ta 3.00, 4 Cr 3.00, 2 Tl 3.19
Tl (0.5000, 0.5000, 0.0000)  4 Cr 3.00, 4 Ta 3.00, 2 Tl 3.19

Energy above the most stable polymorph in this dataset: 1.035 eV/f.u.
Crystal system: tetragonal
ΔE_f: 0.750 eV per atom

***

# 12
Below is a relaxed structure of K3RbNa2, with properties calculated at the PBE level.

a = 7.1235 Å, b = 11.3354 Å, c = 11.9401 Å
α = 123.42°, β = 90.00°, γ = 108.31°
Closest atoms and distances in Å follow each position.
Element x y z (fractional)
K (0.3073, 0.6146, 0.6333)  2 Na 4.00-4.16, 2 K 4.45
K (0.9557, 0.9114, 0.6239)  8 K 4.35-4.84, 2 Na 4.42, 2 Rb 4.55-4.71
K (0.6228, 0.2455, 0.6754)  4 Na 3.99-4.24, 1 Rb 4.38, 1 K 4.45
K (0.3772, 0.7545, 0.3246)  4 Na 3.99-4.24, 1 Rb 4.38, 1 K 4.45
K (0.0443, 0.0886, 0.3761)  8 K 4.35-4.84, 2 Na 4.42, 2 Rb 4.55-4.71
K (0.6927, 0.3854, 0.3667)  2 Na 4.00-4.16, 2 K 4.45
Rb (0.8721, 0.7441, 0.9114)  5 Na 4.09-4.53, 4 K 4.38-4.55
Rb (0.1279, 0.2559, 0.0886)  5 Na 4.09-4.53, 4 K 4.38-4.55
Na (0.5351, 0.0702, 0.8923)  2 Na 3.66-4.03, 2 K 3.99-4.00, 2 Rb 4.09
Na (0.4649, 0.9298, 0.1077)  2 Na 3.66-4.03, 2 K 3.99-4.00, 2 Rb 4.09
Na (0.7642, 0.5284, 0.1090)  3 Na 4.03-4.24, 1 Rb 4.16, 4 K 4.16-4.24
Na (0.2358, 0.4716, 0.8910)  3 Na 4.03-4.24, 1 Rb 4.16, 4 K 4.16-4.24

Crystal system: monoclinic
ΔE_f: 0.027 eV per atom

***

# 13
Below is a relaxed structure of Rb2LiPuCl4O2, with properties calculated at the PBE level.

a = 7.4792 Å, b = 6.7357 Å, c = 6.3930 Å
α = 77.20°, β = 85.84°, γ = 58.76°
Closest atoms and distances in Å follow each position.
Element x y z (fractional)
Rb (0.1036, 0.1977, 0.2702)  2 O 2.91-2.97
Rb (0.8833, 0.7905, 0.7441)  2 O 3.08-3.10, 1 Cl 3.44
Li (0.5641, 0.2498, 0.1076)  1 O 2.13
Pu (0.4981, 0.5114, 0.5071)  2 O 1.82-1.85
Cl (0.2333, 0.6096, 0.1789)  1 Li 2.51, 1 Pu 2.72
Cl (0.3735, 0.2349, 0.7872)  1 Li 2.63, 1 Pu 2.76
Cl (0.7876, 0.3306, 0.8544)  1 Li 2.42
Cl (0.6523, 0.7941, 0.2830)  1 Li 2.76, 1 Pu 2.80
O (0.2965, 0.7674, 0.6062)  1 Pu 1.82
O (0.6910, 0.2547, 0.3927)  1 Pu 1.85

Energy above the most stable polymorph in this dataset: 0.101 eV/f.u.
Crystal system: triclinic
ΔE_f (raw): -2.10 eV per atom